1.
Computed, not measured: Nd2Zn15Tc2 after structural relaxation at the PBE level of DFT.

Results
space-group type	R-3m
E	-53.00	eV per formula unit

Lattice parameters (Å, degrees): 6.8170 6.8170 6.8170 83.48 83.48 83.48
Element x y z (fractional)
Zn: 0.6540 0.6540 0.1503
Zn: 0.0000 0.7106 0.2894
Zn: 0.3460 0.8497 0.3460
Zn: 0.2894 0.0000 0.7106
Zn: 0.3460 0.3460 0.8497
Zn: 0.5000 0.0000 0.0000
Zn: 0.7106 0.2894 0.0000
Zn: 0.2894 0.7106 0.0000
Zn: 0.0000 0.5000 0.0000
Zn: 0.0000 0.0000 0.5000
Zn: 0.7106 0.0000 0.2894
Zn: 0.1503 0.6540 0.6540
Zn: 0.8497 0.3460 0.3460
Zn: 0.6540 0.1503 0.6540
Zn: 0.0000 0.2894 0.7106
Tc: 0.9090 0.9090 0.9090
Tc: 0.0910 0.0910 0.0910
Nd: 0.3407 0.3407 0.3407
Nd: 0.6593 0.6593 0.6593


2.
Computed, not measured: Nd12Zn6Tc after structural relaxation at the PBE level of DFT.

Results
space-group type	R-3
E	-76.26	eV per formula unit

Lattice parameters (Å, degrees): 8.2332 8.2332 8.2332 93.20 93.20 93.20
Element x y z (fractional)
Nd: 0.5688 0.4542 0.8054
Nd: 0.0873 0.3247 0.9725
Nd: 0.1946 0.4312 0.5458
Nd: 0.4542 0.8054 0.5688
Nd: 0.9127 0.6753 0.0275
Nd: 0.8054 0.5688 0.4542
Nd: 0.4312 0.5458 0.1946
Nd: 0.3247 0.9725 0.0873
Nd: 0.5458 0.1946 0.4312
Nd: 0.6753 0.0275 0.9127
Nd: 0.0275 0.9127 0.6753
Nd: 0.9725 0.0873 0.3247
Zn: 0.7404 0.3364 0.1450
Zn: 0.8550 0.2596 0.6636
Zn: 0.2596 0.6636 0.8550
Zn: 0.6636 0.8550 0.2596
Zn: 0.3364 0.1450 0.7404
Zn: 0.1450 0.7404 0.3364
Tc: 0.0000 0.0000 0.0000